1.
First-principles (GGA-PBE) data for crystalline LiScPa2As4 at its relaxed geometry, as listed in the Alexandria database.

abc: 6.688 4.074 7.087
angles: 90.00 110.48 90.00
Space group P2/m (No. 10)
Symmetry-distinct sites (fractional):
Li1 0.000 0.000 0.000 x1
Sc1 0.000 0.500 0.500 x1
Pa1 0.500 0.000 0.500 x1
Pa2 0.500 0.500 0.000 x1
As1 0.238 0.000 0.746 x2
As2 0.242 0.500 0.249 x2

The magnetic moment comes out at 0.001 μB per cell. As for the calculated formation energy: -988 meV/atom. The value obtained for the total energy is -6.718 eV per atom. Its crystal system is monoclinic.



2.
First-principles (GGA-PBE) data for crystalline Sr4LiPa3As8 at its relaxed geometry, as listed in the Alexandria database.

abc: 8.5639 8.5639 21.1024
angles: 90.00 90.00 120.00
Space group R-3m (No. 166, hexagonal axes)
Symmetry-distinct sites (fractional):
Sr1 0.0000 0.0000 0.0000 x3
Sr2 0.0000 0.5000 0.0000 x9
Li1 0.0000 0.0000 0.5000 x3
Pa1 0.0000 0.5000 0.5000 x9
As1 0.0000 0.0000 0.2397 x6
As2 0.0123 0.5062 0.7628 x18

The magnetic moment comes out at 0.000 μB per cell. As for the calculated formation energy: -1066 meV/atom. The value obtained for the total energy is -5.711 eV per atom. Its crystal system is trigonal.



3.
First-principles (GGA-PBE) data for crystalline LiTmPa2As4 at its relaxed geometry, as listed in the Alexandria database.

abc: 6.884 4.107 7.122
angles: 90.00 110.04 90.00
Space group P2/m (No. 10)
Symmetry-distinct sites (fractional):
Li1 0.000 0.000 0.000 x1
Tm1 0.000 0.500 0.500 x1
Pa1 0.500 0.000 0.500 x1
Pa2 0.500 0.500 0.000 x1
As1 0.248 0.000 0.752 x2
As2 0.252 0.500 0.249 x2

The magnetic moment comes out at 0.001 μB per cell. As for the calculated formation energy: -1015 meV/atom. The value obtained for the total energy is -6.512 eV per atom. Its crystal system is monoclinic.



4.
First-principles (GGA-PBE) data for crystalline LiTm2PaAs4 at its relaxed geometry, as listed in the Alexandria database.

abc: 6.886 4.113 7.054
angles: 90.00 108.56 90.00
Space group P2/m (No. 10)
Symmetry-distinct sites (fractional):
Li1 0.000 0.000 0.000 x1
Tm1 0.000 0.500 0.500 x1
Tm2 0.500 0.000 0.500 x1
Pa1 0.500 0.500 0.000 x1
As1 0.248 0.000 0.754 x2
As2 0.257 0.500 0.248 x2

The magnetic moment comes out at 0.000 μB per cell. As for the calculated formation energy: -1105 meV/atom. The value obtained for the total energy is -5.974 eV per atom. Its crystal system is monoclinic.



5.
First-principles (GGA-PBE) data for crystalline LiU2PaAs4 at its relaxed geometry, as listed in the Alexandria database.

abc: 6.886 4.074 7.179
angles: 90.00 109.19 90.00
Space group P2/m (No. 10)
Symmetry-distinct sites (fractional):
Li1 0.000 0.000 0.000 x1
U1 0.000 0.500 0.500 x1
U2 0.500 0.000 0.500 x1
Pa1 0.500 0.500 0.000 x1
As1 0.247 0.000 0.754 x2
As2 0.252 0.500 0.249 x2

The magnetic moment comes out at 5.104 μB per cell. As for the calculated formation energy: -734 meV/atom. The value obtained for the total energy is -7.307 eV per atom. Its crystal system is monoclinic.



6.
First-principles (GGA-PBE) data for crystalline LiZr2PaAs4 at its relaxed geometry, as listed in the Alexandria database.

abc: 6.655 3.932 6.968
angles: 90.00 108.67 90.00
Space group P2/m (No. 10)
Symmetry-distinct sites (fractional):
Li1 0.000 0.000 0.000 x1
Zr1 0.000 0.500 0.500 x1
Zr2 0.500 0.000 0.500 x1
Pa1 0.500 0.500 0.000 x1
As1 0.240 0.000 0.742 x2
As2 0.249 0.500 0.255 x2

The magnetic moment comes out at 0.000 μB per cell. As for the calculated formation energy: -1004 meV/atom. The value obtained for the total energy is -6.892 eV per atom. Its crystal system is monoclinic.



7.
First-principles (GGA-PBE) data for crystalline LiZrPa2As4 at its relaxed geometry, as listed in the Alexandria database.

abc: 6.653 4.056 7.094
angles: 90.00 110.46 90.00
Space group P2/m (No. 10)
Symmetry-distinct sites (fractional):
Li1 0.000 0.000 0.000 x1
Zr1 0.000 0.500 0.500 x1
Pa1 0.500 0.000 0.500 x1
Pa2 0.500 0.500 0.000 x1
As1 0.237 0.000 0.748 x2
As2 0.238 0.500 0.247 x2

The magnetic moment comes out at 0.001 μB per cell. As for the calculated formation energy: -954 meV/atom. The value obtained for the total energy is -6.960 eV per atom. Its crystal system is monoclinic.



8.
First-principles (GGA-PBE) data for crystalline Li2AsPb2 at its relaxed geometry, as listed in the Alexandria database.

abc: 3.846 3.846 16.345
angles: 90.00 90.00 90.00
Space group I4/mmm (No. 139)
Symmetry-distinct sites (fractional):
Li1 0.000 0.500 0.250 x4
As1 0.000 0.000 0.000 x2
Pb1 0.000 0.000 0.401 x4

The magnetic moment comes out at 0.000 μB per cell. As for the calculated formation energy: 81 meV/atom. The value obtained for the total energy is -3.097 eV per atom. Its polymorph energy (0 for the lowest one) is 288 meV per atom. Its crystal system is tetragonal.



9.
First-principles (GGA-PBE) data for crystalline Li2AsPb at its relaxed geometry, as listed in the Alexandria database.

abc: 4.402 4.402 18.127
angles: 90.00 90.00 90.00
Space group I-42d (No. 122)
Symmetry-distinct sites (fractional):
Li1 0.193 0.250 0.125 x8
As1 0.000 0.000 0.000 x4
Pb1 0.000 0.000 0.500 x4

The magnetic moment comes out at 0.000 μB per cell. As for the calculated formation energy: -213 meV/atom. The value obtained for the total energy is -3.259 eV per atom. Its polymorph energy (0 for the lowest one) is 161 meV per atom. Its crystal system is tetragonal.



10.
First-principles (GGA-PBE) data for crystalline LiAs2Pb at its relaxed geometry, as listed in the Alexandria database.

abc: 3.518 3.518 7.109
angles: 90.00 90.00 90.00
Space group P4mm (No. 99)
Symmetry-distinct sites (fractional):
Li1 0.000 0.000 0.000 x1
As1 0.000 0.000 0.638 x1
As2 0.500 0.500 0.788 x1
Pb1 0.500 0.500 0.250 x1

The magnetic moment comes out at 0.000 μB per cell. As for the calculated formation energy: -61 meV/atom. The value obtained for the total energy is -3.791 eV per atom. Its crystal system is tetragonal.



11.
First-principles (GGA-PBE) data for crystalline Li2As2Pb at its relaxed geometry, as listed in the Alexandria database.

abc: 4.384 4.384 10.635
angles: 90.00 90.00 90.00
Space group I4/mmm (No. 139)
Symmetry-distinct sites (fractional):
Li1 0.000 0.500 0.250 x4
As1 0.000 0.000 0.116 x4
Pb1 0.000 0.000 0.500 x2

The magnetic moment comes out at 0.000 μB per cell. As for the calculated formation energy: -362 meV/atom. The value obtained for the total energy is -3.729 eV per atom. Its polymorph energy (0 for the lowest one) is 0 meV per atom. Its crystal system is tetragonal.



12.
First-principles (GGA-PBE) data for crystalline LiAs2Pb at its relaxed geometry, as listed in the Alexandria database.

abc: 3.170 4.291 6.846
angles: 90.00 100.62 90.00
Space group Pm (No. 6)
Symmetry-distinct sites (fractional):
Li1 0.000 0.000 0.000 x1
As1 0.354 0.000 0.657 x1
As2 0.490 0.500 0.977 x1
Pb1 0.724 0.500 0.411 x1

The magnetic moment comes out at 0.000 μB per cell. As for the calculated formation energy: -34 meV/atom. The value obtained for the total energy is -3.764 eV per atom. Its crystal system is monoclinic.